{
  "formula": "Pm5PrDy2",
  "functional": "GGA-PBE",
  "state": "optimized geometry",
  "relative_energy_mev_per_atom": 141.4,
  "sg": "C2/c, No. 15",
  "vol_a3_per_fu": 275,
  "dft_energy_ev_per_atom": -4.56,
  "formation_energy_ev_per_atom": 0.156,
  "lattice": [[8.4284, -5.0325, 0.0000], [8.4284, 5.0325, 0.0000], [-0.9977, 0.0000, 6.4725]],
  "species": ["Pm", "Pm", "Pm", "Pm", "Pm", "Pm", "Pm", "Pm", "Pm", "Pm", "Pr", "Pr", "Dy", "Dy", "Dy", "Dy"],
  "fractional_positions": [[0.0542, 0.9458, 0.7500], [0.1106, 0.2880, 0.0171], [0.2880, 0.1106, 0.5171], [0.3106, 0.4979, 0.8616], [0.4979, 0.3106, 0.3616], [0.5021, 0.6894, 0.6384], [0.6894, 0.5021, 0.1384], [0.7120, 0.8894, 0.4829], [0.8894, 0.7120, 0.9829], [0.9458, 0.0542, 0.2500], [0.0000, 0.5000, 0.5000], [0.5000, 0.0000, 0.0000], [0.1775, 0.6690, 0.3770], [0.3310, 0.8225, 0.1230], [0.6690, 0.1775, 0.8770], [0.8225, 0.3310, 0.6230]]
}